# 1
A plane-wave DFT calculation with PBE was carried out for a relaxed SmHo4Rh4 crystal.

```
SmHo4Rh4
1.0
-1.798 1.499 -5.084
5.494 -5.867 -3.673
-6.313 -6.171 0.412
Sm Ho Rh
2 8 8
direct
0.000 0.000 0.000
0.500 0.500 0.500
0.412 0.323 0.909
0.912 0.591 0.823
0.412 0.677 0.091
0.088 0.177 0.591
0.588 0.909 0.677
0.088 0.823 0.409
0.912 0.409 0.177
0.588 0.091 0.323
0.590 0.783 0.373
0.590 0.217 0.627
0.090 0.873 0.717
0.910 0.283 0.873
0.910 0.717 0.127
0.410 0.373 0.217
0.410 0.627 0.783
0.090 0.127 0.283
```


# 2
A plane-wave DFT calculation with PBE was carried out for a relaxed MnRh2Pb crystal.

```
MnRh2Pb
1.0
-2.960 -0.836 0.081
0.618 -2.483 -3.013
1.251 -4.076 3.616
Mn Pb Rh
1 1 2
direct
0.000 0.000 0.450
0.500 0.500 0.773
0.000 0.000 0.991
0.500 0.500 0.285
```


no.,ΔE_f (eV/atom),DFT total energy (Ry per atom)
1,-0.663,-0.47697
2,0.108,-0.49882